Entry 1:
GdCoB4: optimized geometry, PBE-GGA.

The structure belongs to space group Immm (No. 71); the cell edges are 3.148, 5.311 and 7.345 Å and the angles 90.00°, 90.00° and 90.00°. The inequivalent atoms are Gd at (0.000, 0.000, 0.000), Co at (0.000, 0.000, 0.500) and B at (0.000, 0.333, 0.249).

The value obtained for the distance to the lowest polymorph of the same formula is 462 meV per atom.


Entry 2:
LuZrCuGe: optimized geometry, PBE-GGA.

The structure belongs to space group F-43m (No. 216); the cell edges are 6.750, 6.750 and 6.750 Å and the angles 90.00°, 90.00° and 90.00°. The inequivalent atoms are Lu at (0.000, 0.000, 0.000), Zr at (0.250, 0.250, 0.250), Cu at (0.250, 0.250, 0.750) and Ge at (0.000, 0.000, 0.500).

The value obtained for the distance to the lowest polymorph of the same formula is 0 meV per atom.


Entry 3:
GdErSnC: optimized geometry, PBE-GGA.

The structure belongs to space group P-6m2 (No. 187); the cell edges are 3.6223, 3.6223 and 15.9071 Å and the angles 90.00°, 90.00° and 120.00°. The inequivalent atoms are Gd at (0.0000, 0.0000, 0.1669), Er at (0.6667, 0.3333, 0.3359), Sn at (0.0000, 0.0000, 0.5000), Sn at (0.6667, 0.3333, 0.0000) and C at (0.3333, 0.6667, 0.2535).

The total energy comes out at -49.1 eV per cell.


Entry 4:
Pr5SmSe6: optimized geometry, PBE-GGA.

The structure belongs to space group C2/m (No. 12); the cell edges are 7.349, 12.764 and 7.338 Å and the angles 90.00°, 109.61° and 90.00°. The inequivalent atoms are Pr at (0.000, 0.000, 0.000), Pr at (0.000, 0.167, 0.500), Pr at (0.000, 0.330, 0.000), Sm at (0.000, 0.500, 0.500), Se at (0.245, 0.500, 0.251) and Se at (0.246, 0.336, 0.746).

The total energy comes out at -143.2 eV per cell.


Entry 5:
Zr3GaP: optimized geometry, PBE-GGA.

The structure belongs to space group Cmcm (No. 63); the cell edges are 3.747, 11.245 and 9.618 Å and the angles 90.00°, 90.00° and 90.00°. The inequivalent atoms are Zr at (0.000, 0.063, 0.250), Zr at (0.000, 0.356, 0.064), Ga at (0.000, 0.251, 0.750) and P at (0.000, 0.000, 0.000).

The total energy comes out at -152.9 eV per cell.


Entry 6:
DyTeAs: optimized geometry, PBE-GGA.

The structure belongs to space group P-62m (No. 189); the cell edges are 8.2290, 8.2290 and 3.7915 Å and the angles 90.00°, 90.00° and 120.00°. The inequivalent atoms are Dy at (0.0000, 0.6115, 0.0000), Te at (0.0000, 0.2811, 0.5000), As at (0.0000, 0.0000, 0.0000) and As at (0.3333, 0.6667, 0.5000).

The total energy comes out at -43.0 eV per cell.


Entry 7:
TlAgSe: optimized geometry, PBE-GGA.

The structure belongs to space group P4/nmm (No. 129, origin choice 2); the cell edges are 4.396, 4.396 and 8.132 Å and the angles 90.00°, 90.00° and 90.00°. The inequivalent atoms are Tl at (0.250, 0.250, 0.160), Ag at (0.250, 0.750, 0.500) and Se at (0.250, 0.250, 0.712).

The value obtained for the distance to the lowest polymorph of the same formula is 0 meV per atom.


Entry 8:
K2AgAs3Se6: optimized geometry, PBE-GGA.

The structure belongs to space group P2_1/c (No. 14); the cell edges are 12.904, 7.740 and 18.180 Å and the angles 90.00°, 126.71° and 90.00°. The inequivalent atoms are K at (0.089, 0.111, 0.244), K at (0.288, 0.632, 0.614), Ag at (0.027, 0.009, 0.428), As at (0.278, 0.090, 0.654), As at (0.327, 0.561, 0.363), As at (0.381, 0.179, 0.504), Se at (0.091, 0.229, 0.058), Se at (0.150, 0.689, 0.225), Se at (0.215, 0.089, 0.918), Se at (0.251, 0.571, 0.960), Se at (0.378, 0.202, 0.810) and Se at (0.449, 0.247, 0.660).

The total energy comes out at -182.2 eV per cell.


Entry 9:
ErSi2TcAg: optimized geometry, PBE-GGA.

The structure belongs to space group I-4m2 (No. 119); the cell edges are 4.101, 4.101 and 10.300 Å and the angles 90.00°, 90.00° and 90.00°. The inequivalent atoms are Er at (0.000, 0.000, 0.000), Si at (0.000, 0.000, 0.385), Tc at (0.000, 0.500, 0.250) and Ag at (0.000, 0.500, 0.750).

The total energy comes out at -61.4 eV per cell.


Entry 10:
Y2TlCoNi: optimized geometry, PBE-GGA.

The structure belongs to space group Amm2 (No. 38); the cell edges are 3.777, 3.858 and 14.215 Å and the angles 90.00°, 90.00° and 90.00°. The inequivalent atoms are Y at (0.000, 0.000, 0.000), Y at (0.000, 0.000, 0.278), Tl at (0.500, 0.000, 0.637), Co at (0.500, 0.000, 0.435) and Ni at (0.500, 0.000, 0.841).

The total energy comes out at -59.5 eV per cell.


Entry 11:
Ta8Co7: optimized geometry, PBE-GGA.

The structure belongs to space group P4_2/mnm (No. 136); the cell edges are 9.334, 9.334 and 5.017 Å and the angles 90.00°, 90.00° and 90.00°. The inequivalent atoms are Ta at (0.043, 0.361, 0.000), Ta at (0.170, 0.830, 0.248), Co at (0.000, 0.000, 0.500), Co at (0.076, 0.258, 0.500) and Co at (0.095, 0.095, 0.000).

The value obtained for the formation energy is -0.042 eV per atom. The value obtained for the distance to the lowest polymorph of the same formula is 0 meV per atom.


Entry 12:
Dy3Tm3Bi2Os: optimized geometry, PBE-GGA.

The structure belongs to space group P-62m (No. 189); the cell edges are 8.2599, 8.2599 and 4.2161 Å and the angles 90.00°, 90.00° and 120.00°. The inequivalent atoms are Dy at (0.0000, 0.2361, 0.0000), Tm at (0.0000, 0.6163, 0.5000), Bi at (0.3333, 0.6667, 0.0000) and Os at (0.0000, 0.0000, 0.5000).

The value obtained for the distance to the lowest polymorph of the same formula is 61 meV per atom.


Entry 13:
TaCdFeSb: optimized geometry, PBE-GGA.

The structure belongs to space group F-43m (No. 216); the cell edges are 6.601, 6.601 and 6.601 Å and the angles 90.00°, 90.00° and 90.00°. The inequivalent atoms are Ta at (0.000, 0.000, 0.000), Cd at (0.250, 0.250, 0.750), Fe at (0.000, 0.000, 0.500) and Sb at (0.250, 0.250, 0.250).

The value obtained for the distance to the lowest polymorph of the same formula is 0 meV per atom.


Entry 14:
CoGe3: optimized geometry, PBE-GGA.

The structure belongs to space group I4/mmm (No. 139); the cell edges are 4.157, 4.157 and 7.369 Å and the angles 90.00°, 90.00° and 90.00°. The inequivalent atoms are Co at (0.000, 0.000, 0.000), Ge at (0.000, 0.000, 0.500) and Ge at (0.000, 0.500, 0.250).

The total energy comes out at -39.0 eV per cell.


Entry 15:
Ho3Mg3Cd2In: optimized geometry, PBE-GGA.

The structure belongs to space group P-62m (No. 189); the cell edges are 7.4275, 7.4275 and 4.7074 Å and the angles 90.00°, 90.00° and 120.00°. The inequivalent atoms are Ho at (0.0000, 0.5685, 0.0000), Mg at (0.0000, 0.2422, 0.5000), Cd at (0.3333, 0.6667, 0.5000) and In at (0.0000, 0.0000, 0.0000).

The total energy comes out at -25.3 eV per cell.


Entry 16:
YCu2Te4: optimized geometry, PBE-GGA.

The structure belongs to space group C2/c (No. 15); the cell edges are 10.942, 12.761 and 7.763 Å and the angles 90.00°, 134.47° and 90.00°. The inequivalent atoms are Y at (0.000, 0.125, 0.250), Cu at (0.000, 0.500, 0.000), Cu at (0.250, 0.250, 0.000), Te at (0.158, 0.319, 0.616) and Te at (0.207, 0.069, 0.795).

The total energy comes out at -118.9 eV per cell.


Entry 17:
FeHgBiPt: optimized geometry, PBE-GGA.

The structure belongs to space group F-43m (No. 216); the cell edges are 6.759, 6.759 and 6.759 Å and the angles 90.00°, 90.00° and 90.00°. The inequivalent atoms are Fe at (0.000, 0.000, 0.000), Hg at (0.250, 0.250, 0.250), Bi at (0.250, 0.250, 0.750) and Pt at (0.000, 0.000, 0.500).

The value obtained for the distance to the lowest polymorph of the same formula is 0 meV per atom.


Entry 18:
PmBiN2O: optimized geometry, PBE-GGA.

The structure belongs to space group Pmc2_1 (No. 26); the cell edges are 8.484, 5.787 and 5.970 Å and the angles 90.00°, 90.00° and 90.00°. The inequivalent atoms are Pm at (0.000, 0.227, 0.000), Pm at (0.500, 0.271, 0.127), Bi at (0.250, 0.251, 0.563), N at (0.183, 0.055, 0.261), N at (0.318, 0.446, 0.865), O at (0.000, 0.383, 0.616) and O at (0.500, 0.118, 0.511).

The total energy comes out at -133.3 eV per cell.


Entry 19:
Sc2GaOs: optimized geometry, PBE-GGA.

The structure belongs to space group Imma (No. 74); the cell edges are 6.462, 6.688 and 6.476 Å and the angles 90.00°, 90.00° and 90.00°. The inequivalent atoms are Sc at (0.250, 0.001, 0.250), Ga at (0.000, 0.250, 0.501) and Os at (0.000, 0.250, 0.999).

The total energy comes out at -116.3 eV per cell.


Entry 20:
Li2Zr2Ga2NiPd: optimized geometry, PBE-GGA.

The structure belongs to space group P-4m2 (No. 115); the cell edges are 4.404, 4.404 and 6.255 Å and the angles 90.00°, 90.00° and 90.00°. The inequivalent atoms are Li at (0.000, 0.000, 0.000), Li at (0.500, 0.500, 0.500), Zr at (0.000, 0.500, 0.738), Ga at (0.000, 0.500, 0.257), Ni at (0.000, 0.000, 0.500) and Pd at (0.500, 0.500, 0.000).

The total energy comes out at -42.3 eV per cell.